A plane-wave DFT calculation with PBE was carried out for a relaxed CrBMo2Ru crystal.

```
CrBMo2Ru
1.0
-1.9994 3.5092 -2.3324
-0.8341 -2.7671 -3.4482
-4.1239 -1.1000 1.8803
Ru Mo B Cr
1 2 1 1
Direct
0.0000 0.0000 0.0000
0.0000 0.0000 0.5000
0.5000 0.0000 0.0000
0.5000 0.5000 0.5000
0.0000 0.5000 0.0000
```

Results
Crystal system   tetragonal
Formation energy   1091 kJ/mol of formula units
Total moment   0.290 μB per atom
Calculated total energy   -7.187 eV/atom